VASP calculation (PBE-GGA) on crystalline CaLuMgCu at its relaxed geometry.

Cell lengths 5.147, 5.147, 5.147 Å; angles 60.00, 60.00, 60.00 degrees
Fractional coordinates of all 4 atoms:
Mg: 0.750 0.750 0.750
Cu: 0.250 0.250 0.250
Ca: 0.500 0.500 0.500
Lu: 0.000 0.000 0.000

Values from the calculation:
The symmetry is No. 216. The calculation puts the density of states at the Fermi level at 0.761 states/eV/atom. As for the spin magnetization: 0.000 μB per cell. The calculation puts the formation energy at 0.8 kJ per mole of atoms.